The following is a PBE-GGA calculation of an optimized crystal structure of Pu3Mg5Sb12, from Alexandria via LeMat-Bulk.

space group: Ia-3d
uncorrected energy: -5.06 eV per atom

Cell lengths 15.2342, 15.2342, 15.2342 Å; angles 109.47, 109.47, 109.47 degrees
Last column: magnetic moment on the atom in μB.
Atoms (fractional coordinates):
Pu 0.7500 0.3750 0.1250  5.12
Pu 0.8750 0.7500 0.1250  5.12
Pu 0.3750 0.7500 0.6250  5.12
Pu 0.2500 0.1250 0.3750  5.12
Pu 0.8750 0.1250 0.2500  5.12
Pu 0.3750 0.6250 0.2500  5.12
Pu 0.6250 0.3750 0.7500  5.12
Pu 0.1250 0.8750 0.7500  5.12
Pu 0.7500 0.8750 0.6250  5.12
Pu 0.6250 0.2500 0.3750  5.12
Pu 0.1250 0.2500 0.8750  5.12
Pu 0.2500 0.6250 0.8750  5.12
Mg 0.1250 0.3750 0.2500  0.00
Mg 0.0000 0.5000 0.0000  0.00
Mg 0.0000 0.0000 0.0000  0.00
Mg 0.3750 0.2500 0.1250  0.00
Mg 0.5000 0.0000 0.5000  0.00
Mg 0.5000 0.5000 0.0000  0.00
Mg 0.1250 0.7500 0.3750  0.00
Mg 0.7500 0.1250 0.8750  0.00
Mg 0.7500 0.6250 0.3750  0.00
Mg 0.3750 0.1250 0.7500  0.00
Mg 0.6250 0.8750 0.2500  0.00
Mg 0.5000 0.5000 0.5000  0.00
Mg 0.5000 0.0000 0.0000  0.00
Mg 0.0000 0.0000 0.5000  0.00
Mg 0.2500 0.3750 0.6250  0.00
Mg 0.2500 0.8750 0.1250  0.00
Mg 0.0000 0.5000 0.5000  0.00
Mg 0.8750 0.2500 0.6250  0.00
Mg 0.6250 0.7500 0.8750  0.00
Mg 0.8750 0.6250 0.7500  0.00
Sb 0.7369 0.1487 0.0677  -0.02
Sb 0.3308 0.5677 0.4190  -0.02
Sb 0.9323 0.3513 0.2631  -0.02
Sb 0.5677 0.2369 0.1487  -0.02
Sb 0.5882 0.7369 0.6692  -0.02
Sb 0.9323 0.5810 0.1692  -0.02
Sb 0.3308 0.7631 0.4118  -0.02
Sb 0.0810 0.9118 0.1487  -0.02
Sb 0.5810 0.9323 0.6692  -0.02
Sb 0.7369 0.5882 0.1692  -0.02
Sb 0.7631 0.4323 0.3513  -0.02
Sb 0.8308 0.9190 0.0677  -0.02
Sb 0.1487 0.7369 0.5677  -0.02
Sb 0.3513 0.4190 0.0882  -0.02
Sb 0.0882 0.9190 0.3513  -0.02
Sb 0.4118 0.1487 0.5810  -0.02
Sb 0.0882 0.1692 0.2369  -0.02
Sb 0.4323 0.6692 0.0810  -0.02
Sb 0.8308 0.9118 0.2631  -0.02
Sb 0.1487 0.4118 0.0810  -0.02
Sb 0.3513 0.9323 0.7631  -0.02
Sb 0.5810 0.6487 0.4118  -0.02
Sb 0.9190 0.8308 0.5677  -0.02
Sb 0.7631 0.3308 0.9118  -0.02
Sb 0.4190 0.3513 0.5882  -0.02
Sb 0.0810 0.1692 0.4323  -0.02
Sb 0.2369 0.6692 0.0882  -0.02
Sb 0.1692 0.0882 0.7369  -0.02
Sb 0.6487 0.0677 0.2369  -0.02
Sb 0.8513 0.5882 0.9190  -0.02
Sb 0.5677 0.3308 0.9190  -0.02
Sb 0.5882 0.8513 0.4190  -0.02
Sb 0.9118 0.8308 0.7631  -0.02
Sb 0.9118 0.0810 0.6487  -0.02
Sb 0.8513 0.2631 0.4323  -0.02
Sb 0.1692 0.0810 0.9323  -0.02
Sb 0.6487 0.5810 0.9118  -0.02
Sb 0.4190 0.0677 0.3308  -0.02
Sb 0.2631 0.4118 0.8308  -0.02
Sb 0.2369 0.5677 0.6487  -0.02
Sb 0.9190 0.0882 0.8513  -0.02
Sb 0.6692 0.2369 0.5882  -0.02
Sb 0.4323 0.7631 0.8513  -0.02
Sb 0.0677 0.4190 0.8308  -0.02
Sb 0.4118 0.2631 0.3308  -0.02
Sb 0.0677 0.6487 0.7369  -0.02
Sb 0.6692 0.4323 0.5810  -0.02
Sb 0.2631 0.8513 0.9323  -0.02

The following is a PBE-GGA calculation of an optimized crystal structure of PuMg2Sb, from Alexandria via LeMat-Bulk.

space group: P4/mmm
offset from the most stable computed form: 0 meV per atom
uncorrected energy: -5.71 eV per atom

Cell lengths 4.9291, 4.4696, 4.4696 Å; angles 90.00, 90.00, 90.00 degrees
Last column: magnetic moment on the atom in μB.
Atoms (fractional coordinates):
Sb 0.5000 0.5000 0.5000  0.06
Mg 0.0000 0.0000 0.5000  -0.01
Mg 0.0000 0.5000 0.0000  -0.01
Pu 0.5000 0.0000 0.0000  -5.39

The following is a PBE-GGA calculation of an optimized crystal structure of Pu3Mg2Sb4, from Alexandria via LeMat-Bulk.

space group: C2/m
uncorrected energy: -7.46 eV per atom

Cell lengths 4.5041, 7.5586, 8.1510 Å; angles 109.92, 106.04, 90.00 degrees
Last column: magnetic moment on the atom in μB.
Atoms (fractional coordinates):
Pu 0.1223 0.5739 0.2446  -5.44
Pu 0.8777 0.4261 0.7554  -5.44
Pu 0.0000 0.0000 0.0000  5.32
Mg 0.6768 0.0018 0.3536  0.00
Mg 0.3232 0.9982 0.6464  0.00
Sb 0.4988 0.7178 0.9976  0.02
Sb 0.2191 0.2546 0.4381  0.04
Sb 0.5012 0.2822 0.0024  0.02
Sb 0.7809 0.7454 0.5619  0.04

- The lowest uncorrected energy belongs to which entry?
  Pu3Mg2Sb4

- Which of these has the lowest uncorrected energy?
  Pu3Mg2Sb4